A | AsRuRh, relaxed, DFT GGA-PBE; density = 10.45 g cm⁻³; SG = P3m1 (156); DOS(E_F) = 4.14 states/eV/f.u.; size of the total moment = 0.000 μB/cell
1.0
4.1535 0.0000 0.0000
-2.0767 3.5970 0.0000
0.0000 0.0000 2.9657
Rh As Ru
1 1 1
direct
0.6667 0.3333 0.2615 Rh
0.0000 0.0000 0.9778 As
0.3333 0.6667 0.7607 Ru

---

B | AsRuRh, relaxed, DFT GGA-PBE; density = 10.63 g cm⁻³; SG = I4mm (107); DOS(E_F) = 3.39 states/eV/f.u.; size of the total moment = 0.000 μB/cell
1.0
5.3676 -0.0818 0.0549
4.5820 2.7051 0.7115
0.7856 -0.4455 2.8283
Rh As Ru
1 1 1
direct
0.6522 0.6522 0.3478 Rh
0.9946 0.9946 0.0054 As
0.3531 0.3531 0.6469 Ru

---

C | AsRuRh, relaxed, DFT GGA-PBE; density = 10.06 g cm⁻³; SG = P4/nmm (129); DOS(E_F) = 4.04 states/eV/f.u.; size of the total moment = 0.001 μB/cell
1.0
-1.3367 1.1479 -3.4765
2.2747 -2.6396 -1.7462
-4.4601 -4.0855 0.3659
Rh Ru As
2 2 2
direct
0.0000 0.5000 0.8601 Rh
0.5000 0.0000 0.1399 Rh
0.5000 0.5000 0.5000 Ru
0.0000 0.0000 0.5000 Ru
0.5000 0.0000 0.7492 As
0.0000 0.5000 0.2508 As

---

D | AsRuRh, relaxed, DFT GGA-PBE; density = 10.35 g cm⁻³; SG = C2 (5); DOS(E_F) = 3.02 states/eV/f.u.; size of the total moment = 0.000 μB/cell
1.0
6.4461 0.0000 -0.0025
0.0000 4.4436 0.0000
-4.8128 0.0000 6.2498
Ru Rh As
4 4 4
direct
0.4083 0.8080 0.6187 Ru
0.5917 0.3080 0.8813 Ru
0.5917 0.8080 0.3813 Ru
0.4083 0.3080 0.1187 Ru
0.1015 0.5448 0.7113 Rh
0.8985 0.5448 0.2887 Rh
0.8985 0.0448 0.7887 Rh
0.1015 0.0448 0.2113 Rh
0.5000 0.3163 0.5000 As
0.5000 0.8163 0.0000 As
0.0000 0.5631 0.0000 As
0.0000 0.0631 0.5000 As

---

What should be chosen as the most stable of them? Choose D.

---

A | AsRu2Rh2, relaxed, DFT GGA-PBE; density = 10.25 g cm⁻³; SG = P4/mbm (127); DOS(E_F) = 5.08 states/eV/f.u.; size of the total moment = 0.000 μB/cell
1.0
7.5536 0.0000 0.0000
0.0000 7.5536 0.0000
0.0000 0.0000 2.7408
Ru As Rh
4 2 4
direct
0.8808 0.3808 0.5000 Ru
0.1192 0.6192 0.5000 Ru
0.3808 0.1192 0.5000 Ru
0.6192 0.8808 0.5000 Ru
0.5000 0.5000 0.0000 As
0.0000 0.0000 0.0000 As
0.3244 0.8244 0.0000 Rh
0.8244 0.6756 0.0000 Rh
0.1756 0.3244 0.0000 Rh
0.6756 0.1756 0.0000 Rh

---

B | AsRu2Rh2, relaxed, DFT GGA-PBE; density = 9.97 g cm⁻³; SG = I4/mmm (139); DOS(E_F) = 6.00 states/eV/f.u.; size of the total moment = 0.000 μB/cell
1.0
3.4872 0.0000 0.0000
0.0000 3.4872 0.0000
1.7436 1.7436 6.6126
Rh Ru As
2 2 1
direct
0.5988 0.5988 0.8025 Rh
0.4012 0.4012 0.1975 Rh
0.7500 0.2500 0.5000 Ru
0.2500 0.7500 0.5000 Ru
0.0000 0.0000 0.0000 As

---

What should be chosen as the most stable of them? Choose A.

---

A | As2RuRh, relaxed, DFT GGA-PBE; density = 9.55 g cm⁻³; SG = Pmm2 (25); DOS(E_F) = 2.62 states/eV/f.u.; size of the total moment = 0.000 μB/cell
1.0
-2.0448 2.1770 -0.8585
-1.0933 -2.1725 -2.9047
-3.6344 -2.2195 3.0281
Ru Rh As
1 1 2
direct
0.5000 0.5000 0.7954 Ru
0.0000 0.0000 0.4511 Rh
0.0000 0.0000 0.9412 As
0.5000 0.5000 0.3124 As

---

B | As2RuRh, relaxed, DFT GGA-PBE; density = 9.18 g cm⁻³; SG = Pmmm (47); DOS(E_F) = 3.01 states/eV/f.u.; size of the total moment = 0.000 μB/cell
1.0
2.9202 0.0000 0.0000
0.0000 3.0148 -0.0253
0.0000 0.0628 7.2724
As Rh Ru
2 1 1
direct
0.0000 0.2498 0.9720 As
0.0000 0.2502 0.5280 As
0.5000 0.2500 0.2500 Rh
0.5000 0.7500 0.7500 Ru

---

C | As2RuRh, relaxed, DFT GGA-PBE; density = 8.25 g cm⁻³; SG = Amm2 (38); DOS(E_F) = 1.92 states/eV/f.u.; size of the total moment = 0.000 μB/cell
1.0
-2.0695 3.6953 1.7504
-0.0204 -1.5881 3.3283
3.7491 0.9135 2.5039
Rh As Ru
1 2 1
direct
0.0000 0.4035 0.5692 Rh
0.0000 0.7216 0.9325 As
0.5000 0.5283 0.3171 As
0.5000 0.8465 0.6811 Ru

---

D | As2RuRh, relaxed, DFT GGA-PBE; density = 9.26 g cm⁻³; SG = Cmmm (65); DOS(E_F) = 3.67 states/eV/f.u.; size of the total moment = 0.000 μB/cell
1.0
-1.1753 1.7040 -2.1815
-1.6573 -2.2589 1.0930
-3.0668 4.9022 5.4814
As Rh Ru
2 1 1
direct
0.0000 0.0000 0.5021 As
0.0000 0.0000 0.9979 As
0.5000 0.5000 0.2500 Rh
0.5000 0.5000 0.7500 Ru

---

What should be chosen as the most stable of them? Choose C.